# Sm2Th2As5, relaxed, DFT GGA-PBE
# Spin magnetization   0.00 Bohr magnetons per cell
# Formation enthalpy at 0 K   -1.2435 eV/atom
# Energy   -6.52 eV per atom
data_Sm2Th2As5
_symmetry_space_group_name_H-M 'C m c e'
_symmetry_Int_Tables_number 64
_symmetry_space_group_name_Hall '-C 2ac 2'
_cell_length_a 14.800
_cell_length_b 7.875
_cell_length_c 7.910
_cell_angle_alpha 90.00
_cell_angle_beta 90.00
_cell_angle_gamma 90.00
loop_
_atom_site_label
_atom_site_type_symbol
_atom_site_fract_x
_atom_site_fract_y
_atom_site_fract_z
Sm1 Sm 0.000 0.156 0.159
Th1 Th 0.195 0.000 0.500
As1 As 0.000 0.000 0.500
As2 As 0.140 0.156 0.847